Entry 1:
Material: Th4GaC
Method: DFT, PBE-GGA
State: optimized geometry

```
data_Th4GaC
_chemical_formula_sum 'Th16 Ga4 C4'
_cell_length_a 8.2989
_cell_length_b 14.5546
_cell_length_c 6.2559
_cell_angle_alpha 90.00
_cell_angle_beta 120.65
_cell_angle_gamma 90.00
_symmetry_space_group_name_H-M 'C 1 2/c 1'
_symmetry_Int_Tables_number 15
loop_
_symmetry_equiv_pos_as_xyz
'x,y,z'
'-x,-y,-z'
'-x,y,-z+1/2'
'x,-y,z+1/2'
'x+1/2,y+1/2,z'
'-x+1/2,-y+1/2,-z'
'-x+1/2,y+1/2,-z+1/2'
'x+1/2,-y+1/2,z+1/2'
loop_
_atom_site_label
_atom_site_type_symbol
_atom_site_fract_x
_atom_site_fract_y
_atom_site_fract_z
Th1 Th 0.1310 0.2019 0.1307
Th2 Th 0.2266 0.0507 0.7112
Ga1 Ga 0.0000 0.3827 0.7500
C1 C 0.0000 0.0654 0.2500
```

---

Entry 2:
Material: Sc2BePd8
Method: DFT, PBE-GGA
State: optimized geometry

```
data_Sc2BePd8
_chemical_formula_sum 'Sc4 Be2 Pd16'
_cell_length_a 14.5359
_cell_length_b 4.4919
_cell_length_c 5.7676
_cell_angle_alpha 90.00
_cell_angle_beta 113.22
_cell_angle_gamma 90.00
_symmetry_space_group_name_H-M 'C 1 2/m 1'
_symmetry_Int_Tables_number 12
loop_
_symmetry_equiv_pos_as_xyz
'x,y,z'
'-x,-y,-z'
'-x,y,-z'
'x,-y,z'
'x+1/2,y+1/2,z'
'-x+1/2,-y+1/2,-z'
'-x+1/2,y+1/2,-z'
'x+1/2,-y+1/2,z'
loop_
_atom_site_label
_atom_site_type_symbol
_atom_site_fract_x
_atom_site_fract_y
_atom_site_fract_z
Sc1 Sc 0.1899 0.0000 0.1895
Be1 Be 0.0000 0.5000 0.5000
Pd1 Pd 0.0006 0.0000 0.2499
Pd2 Pd 0.1268 0.5000 0.8853
Pd3 Pd 0.1280 0.5000 0.3721
Pd4 Pd 0.1823 0.0000 0.6834
```

---

Entry 3:
# Rb3PuAg2O6 | the Alexandria database | PBE-GGA | optimized geometry
# - formation energy (no corrections) (meV/atom) = -1490
data_Rb3PuAg2O6
_chemical_formula_sum 'Rb6 Pu2 Ag4 O12'
_cell_length_a 6.1356
_cell_length_b 13.4501
_cell_length_c 6.1411
_cell_angle_alpha 90.00
_cell_angle_beta 99.53
_cell_angle_gamma 90.00
_symmetry_space_group_name_H-M 'C 1 2/m 1'
_symmetry_Int_Tables_number 12
loop_
_symmetry_equiv_pos_as_xyz
'x,y,z'
'-x,-y,-z'
'-x,y,-z'
'x,-y,z'
'x+1/2,y+1/2,z'
'-x+1/2,-y+1/2,-z'
'-x+1/2,y+1/2,-z'
'x+1/2,-y+1/2,z'
loop_
_atom_site_label
_atom_site_type_symbol
_atom_site_fract_x
_atom_site_fract_y
_atom_site_fract_z
Rb1 Rb 0.0000 0.0000 0.0000
Rb2 Rb 0.0000 0.3277 0.0000
Pu1 Pu 0.0000 0.5000 0.5000
Ag1 Ag 0.0000 0.1173 0.5000
O1 O 0.1360 0.5000 0.2396
O2 O 0.2200 0.3900 0.6542

---

Entry 4:
# SbPRhS2 | the Alexandria database | PBE-GGA | optimized geometry
# - formation energy (no corrections) (meV/atom) = 761
# - E above lowest polymorph (eV/atom) = 0.393
data_SbPRhS2
_chemical_formula_sum 'Sb1 P1 Rh1 S2'
_cell_length_a 4.3167
_cell_length_b 4.3167
_cell_length_c 5.3106
_cell_angle_alpha 90.00
_cell_angle_beta 90.00
_cell_angle_gamma 90.00
_symmetry_space_group_name_H-M 'P 4/m m m'
_symmetry_Int_Tables_number 123
_symmetry_space_group_name_Hall '-P 4 2'
loop_
_atom_site_label
_atom_site_type_symbol
_atom_site_fract_x
_atom_site_fract_y
_atom_site_fract_z
Sb1 Sb 0.0000 0.0000 0.0000
P1 P 0.0000 0.0000 0.5000
Rh1 Rh 0.5000 0.5000 0.0000
S1 S 0.0000 0.5000 0.5000

---

Entry 5:
# RbLaOs2 | the Alexandria database | PBE-GGA | optimized geometry
# - E above lowest polymorph (eV/atom) = 0.000
data_RbLaOs2
_chemical_formula_sum 'Rb4 La4 Os8'
_cell_length_a 4.9161
_cell_length_b 4.9161
_cell_length_c 20.0969
_cell_angle_alpha 90.00
_cell_angle_beta 90.00
_cell_angle_gamma 90.00
_symmetry_space_group_name_H-M 'I -4 2 d'
_symmetry_Int_Tables_number 122
_symmetry_space_group_name_Hall 'I -4 2bw'
loop_
_atom_site_label
_atom_site_type_symbol
_atom_site_fract_x
_atom_site_fract_y
_atom_site_fract_z
Rb1 Rb 0.0000 0.0000 0.0000
La1 La 0.0000 0.0000 0.5000
Os1 Os 0.0497 0.2500 0.6250

---

Entry 6:
Material: SmHo3TmSc
Method: DFT, PBE-GGA
State: optimized geometry

```
data_SmHo3TmSc
_chemical_formula_sum 'Sm4 Ho12 Tm4 Sc4'
_cell_length_a 4.9315
_cell_length_b 14.7987
_cell_length_c 9.9039
_cell_angle_alpha 90.00
_cell_angle_beta 90.00
_cell_angle_gamma 90.00
_symmetry_space_group_name_H-M 'C m c m'
_symmetry_Int_Tables_number 63
_symmetry_space_group_name_Hall '-C 2c 2'
loop_
_atom_site_label
_atom_site_type_symbol
_atom_site_fract_x
_atom_site_fract_y
_atom_site_fract_z
Sm1 Sm 0.0000 0.0024 0.2500
Ho1 Ho 0.0000 0.1674 0.0004
Ho2 Ho 0.0000 0.3308 0.2500
Tm1 Tm 0.0000 0.5000 0.0000
Sc1 Sc 0.0000 0.3321 0.7500
```

---

Entry 7:
# Nb2SiAuI | the Alexandria database | PBE-GGA | optimized geometry
# - formation energy (no corrections) (meV/atom) = 1146
data_Nb2SiAuI
_chemical_formula_sum 'Nb2 Si1 Au1 I1'
_cell_length_a 4.7829
_cell_length_b 4.7829
_cell_length_c 5.1866
_cell_angle_alpha 90.00
_cell_angle_beta 90.00
_cell_angle_gamma 90.00
_symmetry_space_group_name_H-M 'P 4/m m m'
_symmetry_Int_Tables_number 123
_symmetry_space_group_name_Hall '-P 4 2'
loop_
_atom_site_label
_atom_site_type_symbol
_atom_site_fract_x
_atom_site_fract_y
_atom_site_fract_z
Nb1 Nb 0.0000 0.5000 0.0000
Si1 Si 0.0000 0.0000 0.0000
Au1 Au 0.5000 0.5000 0.5000
I1 I 0.0000 0.0000 0.5000

---

Entry 8:
# CdSi2W | the Alexandria database | PBE-GGA | optimized geometry
# - formation energy (no corrections) (meV/atom) = 572
data_CdSi2W
_chemical_formula_sum 'Cd2 Si4 W2'
_cell_length_a 3.8057
_cell_length_b 3.8057
_cell_length_c 8.8521
_cell_angle_alpha 90.00
_cell_angle_beta 90.00
_cell_angle_gamma 90.00
_symmetry_space_group_name_H-M 'I -4 m 2'
_symmetry_Int_Tables_number 119
_symmetry_space_group_name_Hall 'I -4 -2'
loop_
_atom_site_label
_atom_site_type_symbol
_atom_site_fract_x
_atom_site_fract_y
_atom_site_fract_z
Cd1 Cd 0.0000 0.0000 0.0000
Si1 Si 0.0000 0.0000 0.5000
Si2 Si 0.0000 0.5000 0.7500
W1 W 0.0000 0.5000 0.2500

---

Entry 9:
Material: Ca8BiAu2
Method: DFT, PBE-GGA
State: optimized geometry

```
data_Ca8BiAu2
_chemical_formula_sum 'Ca16 Bi2 Au4'
_cell_length_a 9.3828
_cell_length_b 13.9693
_cell_length_c 5.7340
_cell_angle_alpha 90.00
_cell_angle_beta 104.57
_cell_angle_gamma 90.00
_symmetry_space_group_name_H-M 'C 1 m 1'
_symmetry_Int_Tables_number 8
loop_
_symmetry_equiv_pos_as_xyz
'x,y,z'
'x,-y,z'
'x+1/2,y+1/2,z'
'x+1/2,-y+1/2,z'
loop_
_atom_site_label
_atom_site_type_symbol
_atom_site_fract_x
_atom_site_fract_y
_atom_site_fract_z
Ca1 Ca 0.0000 0.0000 0.0000
Ca2 Ca 0.0818 0.3679 0.7858
Ca3 Ca 0.1822 0.1321 0.6109
Ca4 Ca 0.2640 0.5000 0.3965
Ca5 Ca 0.3819 0.2415 0.1983
Bi1 Bi 0.3819 0.0000 0.1962
Au1 Au 0.3819 0.3146 0.6983
```

---

Entry 10:
# GeB | the Alexandria database | PBE-GGA | optimized geometry
# - E above lowest polymorph (eV/atom) = 0.023
data_GeB
_chemical_formula_sum 'Ge4 B4'
_cell_length_a 5.2833
_cell_length_b 3.0458
_cell_length_c 7.0515
_cell_angle_alpha 90.00
_cell_angle_beta 102.64
_cell_angle_gamma 90.00
_symmetry_space_group_name_H-M 'C 1 m 1'
_symmetry_Int_Tables_number 8
loop_
_symmetry_equiv_pos_as_xyz
'x,y,z'
'x,-y,z'
'x+1/2,y+1/2,z'
'x+1/2,-y+1/2,z'
loop_
_atom_site_label
_atom_site_type_symbol
_atom_site_fract_x
_atom_site_fract_y
_atom_site_fract_z
Ge1 Ge 0.0000 0.0000 0.0000
Ge2 Ge 0.0301 0.5000 0.4496
B1 B 0.1065 0.5000 0.7624
B2 B 0.2684 0.0000 0.7462

---

Entry 11:
# LaCdGePt2 | the Alexandria database | PBE-GGA | optimized geometry
# - E above lowest polymorph (eV/atom) = 0.000
data_LaCdGePt2
_chemical_formula_sum 'La1 Cd1 Ge1 Pt2'
_cell_length_a 3.9646
_cell_length_b 4.3593
_cell_length_c 6.0628
_cell_angle_alpha 90.00
_cell_angle_beta 90.00
_cell_angle_gamma 90.00
_symmetry_space_group_name_H-M 'P m m 2'
_symmetry_Int_Tables_number 25
loop_
_symmetry_equiv_pos_as_xyz
'x,y,z'
'-x,-y,z'
'-x,y,z'
'x,-y,z'
loop_
_atom_site_label
_atom_site_type_symbol
_atom_site_fract_x
_atom_site_fract_y
_atom_site_fract_z
La1 La 0.0000 0.0000 0.0000
Cd1 Cd 0.5000 0.0000 0.5179
Ge1 Ge 0.5000 0.5000 0.2310
Pt1 Pt 0.0000 0.5000 0.4819
Pt2 Pt 0.5000 0.5000 0.8237

---

no.,final energy (eV/atom)
1,-7.16
2,-5.89
3,-5.88
4,-4.27
5,-5.93
6,-4.84
7,-4.93
8,-5.61
9,-2.90
10,-5.25
11,-5.28